Compound: CsNb2Si
Source: the Alexandria database
Functional: GGA-PBE
Structure: optimized geometry

energy relative to the elements, uncorrected = 1.17 eV/atom
magnetic moment = 0.00 μB per cell

Cell: 4.9234 4.9234 18.5570 Å, 90.00 90.00 90.00°
Closest atoms and distances in Å follow each position.
Space group I-42d (No. 122)
Symmetry-distinct sites (fractional):
Cs1 0.0000 0.0000 0.0000  4 Nb 3.32, 4 Si 3.48
Nb1 0.0860 0.2500 0.6250  2 Nb 2.60, 2 Si 2.66
Si1 0.0000 0.0000 0.5000  4 Nb 2.66